[1]
# GGA-PBE Pr2TcCl, relaxed
data_Pr2TcCl
_space_group_name_H-M_alt 'R -3 m'
_space_group_IT_number 166
_space_group_name_Hall '-R 3 2"'
_cell_length_a 3.4614
_cell_length_b 3.4614
_cell_length_c 29.1886
_cell_angle_alpha 90.00
_cell_angle_beta 90.00
_cell_angle_gamma 120.00
loop_
_atom_site_label
_atom_site_type_symbol
_atom_site_fract_x
_atom_site_fract_y
_atom_site_fract_z
Pr1 Pr 0.0000 0.0000 0.0872
Tc1 Tc 0.0000 0.0000 0.0000
Cl1 Cl 0.0000 0.0000 0.5000
# - Offset from the most stable computed form: 664 meV/atom
# - Calculated volume: 25.2 Å³ per atom
# - Raw formation energy: 0.088 eV/f.u.
# - Density: 6.8 Mg/m³

=====

[2]
# GGA-PBE TcSn2Pd, relaxed
data_TcSn2Pd
_space_group_name_H-M_alt 'R -3 m'
_space_group_IT_number 166
_space_group_name_Hall '-R 3 2"'
_cell_length_a 3.0989
_cell_length_b 3.0989
_cell_length_c 29.1504
_cell_angle_alpha 90.00
_cell_angle_beta 90.00
_cell_angle_gamma 120.00
loop_
_atom_site_label
_atom_site_type_symbol
_atom_site_fract_x
_atom_site_fract_y
_atom_site_fract_z
Tc1 Tc 0.0000 0.0000 0.0000
Sn1 Sn 0.0000 0.0000 0.0922
Pd1 Pd 0.0000 0.0000 0.5000
# - DFT formation energy: 1.4 eV per formula unit
# - Offset from the most stable computed form: 469 meV/atom
# - Calculated volume: 20.2 Å³ per atom
# - Density: 9.1 Mg/m³